<w>
Compound: CeZnPdPt
Source: Alexandria
Functional: PBE
Structure: relaxed

Cell: 6.7319 6.7319 6.7319 Å, 90.00 90.00 90.00°
Space group F-43m (No. 216)
Symmetry-distinct sites (fractional):
Ce 0.0000 0.0000 0.0000 x4
Zn 0.0000 0.0000 0.5000 x4
Pd 0.2500 0.2500 0.2500 x4
Pt 0.2500 0.2500 0.7500 x4

<x>
Compound: CeZnPdPt
Source: Alexandria
Functional: PBE
Structure: relaxed

Cell: 4.4177 4.4177 13.9118 Å, 90.00 90.00 120.00°
Space group R3m (No. 160, hexagonal axes)
Symmetry-distinct sites (fractional):
Ce 0.0000 0.0000 0.0000 x3
Zn 0.0000 0.0000 0.4953 x3
Pd 0.0000 0.0000 0.2171 x3
Pt 0.0000 0.0000 0.7806 x3

Stability summary: most stable <x>, least stable <w>.

<w>
Compound: Ce2PuPd
Source: Alexandria
Functional: PBE
Structure: relaxed

Cell: 5.2935 5.2935 3.2360 Å, 90.00 90.00 90.00°
Space group P4/mmm (No. 123)
Symmetry-distinct sites (fractional):
Ce 0.0000 0.5000 0.0000 x2
Pu 0.0000 0.0000 0.5000 x1
Pd 0.5000 0.5000 0.5000 x1

<x>
Compound: Ce2PuPd
Source: Alexandria
Functional: PBE
Structure: relaxed

Cell: 7.2305 7.2305 7.2305 Å, 90.00 90.00 90.00°
Space group Fm-3m (No. 225)
Symmetry-distinct sites (fractional):
Ce 0.2500 0.2500 0.2500 x8
Pu 0.0000 0.0000 0.0000 x4
Pd 0.0000 0.0000 0.5000 x4

Stability summary: most stable <w>, least stable <x>.

<w>
Compound: Ce2PdRh4
Source: Alexandria
Functional: PBE
Structure: relaxed

Cell: 9.7287 5.4610 9.5151 Å, 90.00 90.00 90.00°
Space group Cmce (No. 64)
Symmetry-distinct sites (fractional):
Ce 0.1515 0.0000 0.0000 x8
Pd 0.0000 0.0000 0.5000 x4
Rh 0.0000 0.2302 0.2449 x8
Rh 0.2500 0.0251 0.7500 x8

<x>
Compound: Ce2PdRh4
Source: Alexandria
Functional: PBE
Structure: relaxed

Cell: 3.8503 3.8503 18.2642 Å, 90.00 90.00 90.00°
Space group I4/mmm (No. 139)
Symmetry-distinct sites (fractional):
Ce 0.0000 0.0000 0.1080 x4
Pd 0.0000 0.0000 0.5000 x2
Rh 0.0000 0.0000 0.3537 x4
Rh 0.0000 0.5000 0.2500 x4

Stability summary: most stable <w>, least stable <x>.

<w>
Compound: TbCePdRh
Source: Alexandria
Functional: PBE
Structure: relaxed

Cell: 4.1782 3.8066 11.2644 Å, 90.00 90.00 90.00°
Space group Amm2 (No. 38)
Symmetry-distinct sites (fractional):
Tb 0.0000 0.0000 0.0000 x2
Ce 0.5000 0.0000 0.7246 x2
Pd 0.5000 0.0000 0.4440 x2
Rh 0.0000 0.0000 0.2592 x2

<x>
Compound: TbCePdRh
Source: Alexandria
Functional: PBE
Structure: relaxed

Cell: 7.0248 7.0248 7.0248 Å, 90.00 90.00 90.00°
Space group F-43m (No. 216)
Symmetry-distinct sites (fractional):
Tb 0.0000 0.0000 0.0000 x4
Ce 0.0000 0.0000 0.5000 x4
Pd 0.2500 0.2500 0.7500 x4
Rh 0.2500 0.2500 0.2500 x4

Stability summary: most stable <w>, least stable <x>.

<w>
Compound: CeYPdRh
Source: Alexandria
Functional: PBE
Structure: relaxed

Cell: 7.0245 7.0245 7.0245 Å, 90.00 90.00 90.00°
Space group F-43m (No. 216)
Symmetry-distinct sites (fractional):
Ce 0.0000 0.0000 0.0000 x4
Y 0.0000 0.0000 0.5000 x4
Pd 0.2500 0.2500 0.2500 x4
Rh 0.2500 0.2500 0.7500 x4

<x>
Compound: CeYPdRh
Source: Alexandria
Functional: PBE
Structure: relaxed

Cell: 4.1907 3.7960 11.2546 Å, 90.00 90.00 90.00°
Space group Amm2 (No. 38)
Symmetry-distinct sites (fractional):
Ce 0.0000 0.0000 0.0000 x2
Y 0.5000 0.0000 0.7244 x2
Pd 0.0000 0.0000 0.2818 x2
Rh 0.5000 0.0000 0.4647 x2

Stability summary: most stable <x>, least stable <w>.

<w>
Compound: CeZnPdRh
Source: Alexandria
Functional: PBE
Structure: relaxed

Cell: 6.6372 6.6372 6.6372 Å, 90.00 90.00 90.00°
Space group F-43m (No. 216)
Symmetry-distinct sites (fractional):
Ce 0.0000 0.0000 0.0000 x4
Zn 0.0000 0.0000 0.5000 x4
Pd 0.2500 0.2500 0.7500 x4
Rh 0.2500 0.2500 0.2500 x4

<x>
Compound: CeZnPdRh
Source: Alexandria
Functional: PBE
Structure: relaxed

Cell: 3.8890 3.8890 9.4323 Å, 90.00 90.00 90.00°
Space group I-4m2 (No. 119)
Symmetry-distinct sites (fractional):
Ce 0.0000 0.0000 0.0000 x2
Zn 0.0000 0.5000 0.7500 x2
Pd 0.0000 0.5000 0.2500 x2
Rh 0.0000 0.0000 0.5000 x2

Stability summary: most stable <x>, least stable <w>.

<w>
Compound: Ce6PdRu2
Source: Alexandria
Functional: PBE
Structure: relaxed

Cell: 10.2032 4.8318 8.5220 Å, 90.00 99.09 90.00°
Space group C2/m (No. 12)
Symmetry-distinct sites (fractional):
Ce 0.0489 0.0000 0.3523 x4
Ce 0.1129 0.5000 0.6807 x4
Ce 0.1857 0.5000 0.0899 x4
Pd 0.0000 0.0000 0.0000 x2
Ru 0.2257 0.5000 0.3772 x4

<x>
Compound: Ce6PdRu2
Source: Alexandria
Functional: PBE
Structure: relaxed

Cell: 6.4553 7.1652 11.6137 Å, 90.00 123.02 90.00°
Space group P2_1/c (No. 14)
Symmetry-distinct sites (fractional):
Ce 0.0639 0.1910 0.4215 x4
Ce 0.2867 0.6356 0.4488 x4
Ce 0.4028 0.0696 0.2328 x4
Pd 0.5000 0.0000 0.5000 x2
Ru 0.1802 0.1252 0.7229 x4

Stability summary: most stable <w>, least stable <x>.

<w>
Compound: CePdS2
Source: Alexandria
Functional: PBE
Structure: relaxed

Cell: 4.0666 4.0666 19.3527 Å, 90.00 90.00 120.00°
Space group R3m (No. 160, hexagonal axes)
Symmetry-distinct sites (fractional):
Ce 0.0000 0.0000 0.0000 x3
Pd 0.0000 0.0000 0.2260 x3
S 0.0000 0.0000 0.5708 x3
S 0.0000 0.0000 0.7434 x3

<x>
Compound: CePdS2
Source: Alexandria
Functional: PBE
Structure: relaxed

Cell: 3.6837 3.6837 23.7524 Å, 90.00 90.00 120.00°
Space group R-3m (No. 166, hexagonal axes)
Symmetry-distinct sites (fractional):
Ce 0.0000 0.0000 0.0000 x3
Pd 0.0000 0.0000 0.5000 x3
S 0.0000 0.0000 0.1138 x6

Stability summary: most stable <w>, least stable <x>.